HfNi2SnO6 PBE+U optimized geometry; E = -0.25177 hartree per atom; symmetry = No. 146; ρ = 7.4 g/cm³; magnetization = 4.0 μB per formula unit
1.0
-4.7363 -0.4669 -2.2534
-1.1809 -4.3144 -2.7799
-3.6424 -3.6767 2.2643
Hf O Sn Ni
1 6 1 2
direct
0.8134 0.8136 0.5594 Hf
0.4203 0.7168 0.7534 O
0.6113 0.2158 0.2520 O
0.2157 0.9209 0.2521 O
0.9209 0.6114 0.2521 O
0.7169 0.1094 0.7534 O
0.1094 0.4203 0.7534 O
0.3153 0.3153 0.0539 Sn
0.5204 0.5203 0.4391 Ni
0.0179 0.0178 0.9465 Ni